VASP calculation (PBE) on a geometry-optimized NaSmIn4 structure.

Calculated values
space group: F-43m (216)
energy of formation from the pure elements: -0.203 eV/atom

abc: 6.1108 6.1108 6.1108
angles: 60.00 60.00 60.00
With the nearest neighbours (Å) after each atom.
Sites, in units of the cell vectors:
Na1 0.0000 0.0000 0.0000  12 In 3.58, 4 Sm 3.74
Sm1 0.2500 0.2500 0.2500  12 In 3.58, 4 Na 3.74
In1 0.1254 0.6249 0.6249  6 In 3.05-3.06
In2 0.6249 0.1254 0.6249  6 In 3.05-3.06
In3 0.6249 0.6249 0.1254  6 In 3.05-3.06
In4 0.6249 0.6249 0.6249  6 In 3.05-3.06

***

VASP calculation (PBE) on a geometry-optimized Y2MnSb structure.

Calculated values
space group: P4mm (99)
formation energy from raw total energies: -0.144 eV per atom

abc: 3.6041 3.6041 7.8910
angles: 90.00 90.00 90.00
With the nearest neighbours (Å) after each atom.
Sites, in units of the cell vectors:
Y1 0.0000 0.0000 0.0000  4 Sb 3.28, 1 Mn 3.37, 4 Y 3.60
Y2 0.5000 0.5000 0.3393  1 Sb 3.14, 4 Mn 3.15
Mn1 0.0000 0.0000 0.5734  4 Sb 2.86, 4 Y 3.15
Sb1 0.5000 0.5000 0.7376  4 Mn 2.86, 1 Y 3.14

***

VASP calculation (PBE) on a geometry-optimized CsN2ClF structure.

Calculated values
space group: P4/mmm (123)
formation energy from raw total energies: 0.931 eV per atom

abc: 4.1679 4.1679 6.8264
angles: 90.00 90.00 90.00
With the nearest neighbours (Å) after each atom.
Sites, in units of the cell vectors:
Cs1 0.0000 0.0000 0.0000  4 F 2.95
N1 0.0000 0.5000 0.5000  2 Cl 2.08
N2 0.5000 0.0000 0.5000  2 Cl 2.08
Cl1 0.5000 0.5000 0.5000  4 N 2.08
F1 0.5000 0.5000 0.0000  4 Cs 2.95

***

VASP calculation (PBE) on a geometry-optimized NaCoTc2 structure.

Calculated values
space group: I-42d (122)
energy of formation from the pure elements: 1.018 eV/atom

abc: 5.6523 5.6523 5.6523
angles: 101.09 101.09 127.98
With the nearest neighbours (Å) after each atom.
Sites, in units of the cell vectors:
Na1 0.0000 0.0000 0.0000  2 Co 2.48
Na2 0.7500 0.2500 0.5000  2 Co 2.48
Co1 0.2500 0.7500 0.5000  4 Tc 2.34, 2 Na 2.48
Co2 0.5000 0.5000 0.0000  4 Tc 2.34, 2 Na 2.48
Tc1 0.1856 0.6250 0.0606  2 Co 2.34
Tc2 0.3750 0.4356 0.5606  2 Co 2.34
Tc3 0.5644 0.1250 0.9394  2 Co 2.34
Tc4 0.8750 0.8144 0.4394  2 Co 2.34

***

VASP calculation (PBE) on a geometry-optimized Ta2MnTc structure.

Calculated values
space group: Cmmm (65)
energy of formation from the pure elements: -0.069 eV/atom

abc: 2.8167 2.8167 8.4076
angles: 90.00 90.00 110.94
With the nearest neighbours (Å) after each atom.
Sites, in units of the cell vectors:
Ta1 0.0000 0.0000 0.2398  2 Mn 2.57, 2 Tc 2.71, 4 Ta 2.82
Ta2 0.0000 0.0000 0.7602  2 Mn 2.57, 2 Tc 2.71, 4 Ta 2.82
Mn1 0.5000 0.5000 0.0000  4 Ta 2.57, 4 Mn 2.82
Tc1 0.5000 0.5000 0.5000  4 Ta 2.71, 4 Tc 2.82

***

VASP calculation (PBE) on a geometry-optimized Sr2RuW structure.

Calculated values
space group: F-43m (216)
energy of formation from the pure elements: 1.160 eV/atom

abc: 5.0402 5.0402 5.0402
angles: 60.00 60.00 60.00
With the nearest neighbours (Å) after each atom.
Sites, in units of the cell vectors:
Sr1 0.0000 0.0000 0.0000  4 Ru 3.09, 4 Sr 3.09
Sr2 0.2500 0.2500 0.2500  4 W 3.09, 4 Sr 3.09
Ru1 0.7500 0.7500 0.7500  4 W 3.09, 4 Sr 3.09
W1 0.5000 0.5000 0.5000  4 Ru 3.09, 4 Sr 3.09

***

VASP calculation (PBE) on a geometry-optimized CoIr2Rh structure.

Calculated values
space group: Pmmm (47)
energy of formation from the pure elements: 0.291 eV/atom

abc: 2.6974 4.5632 4.5851
angles: 90.00 90.00 90.00
With the nearest neighbours (Å) after each atom.
Sites, in units of the cell vectors:
Co1 0.0000 0.0000 0.0000  4 Ir 2.65, 4 Rh 2.66, 2 Co 2.70
Ir1 0.0000 0.5000 0.5000  4 Rh 2.65, 6 Ir 2.66-2.70
Ir2 0.5000 0.5000 0.0000  4 Co 2.65, 6 Ir 2.66-2.70
Rh1 0.5000 0.0000 0.5000  4 Ir 2.65, 4 Co 2.66, 2 Rh 2.70

***

VASP calculation (PBE) on a geometry-optimized BaInCu2Se4 structure.

Calculated values
space group: I-42m (121)
formation energy from raw total energies: -0.703 eV per atom

abc: 6.5593 6.5593 6.5593
angles: 116.32 116.32 96.50
With the nearest neighbours (Å) after each atom.
Sites, in units of the cell vectors:
Ba1 0.0000 0.0000 0.0000  8 Se 3.28-3.41
In1 0.5000 0.5000 0.0000  4 Se 2.64
Cu1 0.2500 0.7500 0.5000  4 Se 2.53
Cu2 0.7500 0.2500 0.5000  4 Se 2.53
Se1 0.1009 0.1009 0.5793  2 Cu 2.53, 1 In 2.64
Se2 0.4784 0.8991 0.0000  2 Cu 2.53, 1 In 2.64
Se3 0.5216 0.5216 0.4207  2 Cu 2.53, 1 In 2.64
Se4 0.8991 0.4784 0.0000  2 Cu 2.53, 1 In 2.64

***

VASP calculation (PBE) on a geometry-optimized DyZnSn structure.

Calculated values
space group: P6_3/mmc (194)
energy of formation from the pure elements: -0.524 eV/atom

abc: 4.6789 4.6789 7.1272
angles: 90.00 90.00 120.00
With the nearest neighbours (Å) after each atom.
Sites, in units of the cell vectors:
Dy1 0.0000 0.0000 0.0000  6 Sn 3.24, 6 Zn 3.24, 2 Dy 3.56
Dy2 0.0000 0.0000 0.5000  6 Sn 3.24, 6 Zn 3.24, 2 Dy 3.56
Zn1 0.3333 0.6667 0.2500  3 Sn 2.70
Zn2 0.6667 0.3333 0.7500  3 Sn 2.70
Sn1 0.3333 0.6667 0.7500  3 Zn 2.70
Sn2 0.6667 0.3333 0.2500  3 Zn 2.70

***

VASP calculation (PBE) on a geometry-optimized Ir2RhBr structure.

Calculated values
space group: F-43m (216)
formation energy from raw total energies: 0.979 eV per atom

abc: 4.4814 4.4814 4.4814
angles: 60.00 60.00 60.00
With the nearest neighbours (Å) after each atom.
Sites, in units of the cell vectors:
Ir1 0.0000 0.0000 0.0000  4 Ir 2.74, 4 Rh 2.74
Ir2 0.2500 0.2500 0.2500  4 Br 2.74, 4 Ir 2.74
Rh1 0.7500 0.7500 0.7500  4 Br 2.74, 4 Ir 2.74
Br1 0.5000 0.5000 0.5000  4 Rh 2.74, 4 Ir 2.74

***

VASP calculation (PBE) on a geometry-optimized RbCa2TlPd structure.

Calculated values
space group: P4/mmm (123)
energy of formation from the pure elements: -0.219 eV/atom

abc: 5.7204 5.7204 5.4756
angles: 90.00 90.00 90.00
With the nearest neighbours (Å) after each atom.
Sites, in units of the cell vectors:
Rb1 0.0000 0.0000 0.0000  8 Ca 3.96, 4 Tl 4.04
Ca1 0.0000 0.5000 0.5000  2 Pd 2.86
Ca2 0.5000 0.0000 0.5000  2 Pd 2.86
Tl1 0.5000 0.5000 0.0000  2 Pd 2.74
Pd1 0.5000 0.5000 0.5000  2 Tl 2.74, 4 Ca 2.86

***

VASP calculation (PBE) on a geometry-optimized CaY2Be structure.

Calculated values
space group: I-4m2 (119)
energy of formation from the pure elements: 0.402 eV/atom

abc: 5.8817 5.8817 5.8817
angles: 132.90 132.90 68.81
With the nearest neighbours (Å) after each atom.
Sites, in units of the cell vectors:
Ca1 0.0000 0.0000 0.0000  8 Y 3.32-3.38, 4 Be 3.38
Y1 0.2500 0.7500 0.5000  4 Be 3.32, 4 Y 3.38, 4 Ca 3.38
Y2 0.5000 0.5000 0.0000  4 Ca 3.32, 4 Be 3.38, 4 Y 3.38
Be1 0.7500 0.2500 0.5000  8 Y 3.32-3.38, 4 Ca 3.38

***

VASP calculation (PBE) on a geometry-optimized MgAg5Au3 structure.

Calculated values
space group: C2/m (12)
energy of formation from the pure elements: 0.087 eV/atom

abc: 6.0424 6.0424 10.6069
angles: 95.28 95.28 82.68
With the nearest neighbours (Å) after each atom.
Sites, in units of the cell vectors:
Mg1 0.0439 0.0439 0.2583  4 Au 2.64-2.91, 3 Ag 2.65-2.92
Mg2 0.9561 0.9561 0.7417  4 Au 2.64-2.91, 3 Ag 2.65-2.92
Ag1 0.0143 0.5953 0.3321  4 Au 2.69-3.00, 1 Mg 2.92, 1 Ag 2.94
Ag2 0.2860 0.2860 0.1408  1 Mg 2.65, 3 Ag 2.69-2.92, 2 Au 2.80-2.83
Ag3 0.3311 0.6689 0.0000  3 Au 2.64-2.84, 3 Ag 2.70-2.92
Ag4 0.4047 0.9857 0.6679  4 Au 2.69-3.00, 1 Mg 2.92, 1 Ag 2.94
Ag5 0.4635 0.4635 0.6951  3 Ag 2.69-2.94, 3 Au 2.77-2.90
Ag6 0.5365 0.5365 0.3049  3 Ag 2.69-2.94, 3 Au 2.77-2.90
Ag7 0.5953 0.0143 0.3321  4 Au 2.69-3.00, 1 Mg 2.92, 1 Ag 2.94
Ag8 0.6689 0.3311 0.0000  3 Au 2.64-2.84, 3 Ag 2.70-2.92
Ag9 0.7140 0.7140 0.8592  1 Mg 2.65, 3 Ag 2.69-2.92, 2 Au 2.80-2.83
Ag10 0.9857 0.4047 0.6679  4 Au 2.69-3.00, 1 Mg 2.92, 1 Ag 2.94
Au1 0.0000 0.0000 0.0000  4 Ag 2.64-2.83, 2 Mg 2.72, 2 Au 2.75
Au2 0.0000 0.0000 0.5000  2 Mg 2.64, 2 Au 2.75, 4 Ag 2.89
Au3 0.2479 0.2479 0.8750  1 Au 2.75, 6 Ag 2.76-2.90, 1 Mg 2.85
Au4 0.2938 0.2938 0.4589  6 Ag 2.69-3.00, 1 Au 2.75, 1 Mg 2.91
Au5 0.7062 0.7062 0.5411  6 Ag 2.69-3.00, 1 Au 2.75, 1 Mg 2.91
Au6 0.7521 0.7521 0.1250  1 Au 2.75, 6 Ag 2.76-2.90, 1 Mg 2.85

***

Number 1: M_tot 0.000 μB/atom. Number 2: M_tot 0.955 μB/atom. Number 3: M_tot 0.774 μB/atom. Number 4: M_tot 0.000 μB/atom. Number 5: M_tot 0.233 μB/atom. Number 6: M_tot 0.000 μB/atom. Number 7: M_tot 0.540 μB/atom. Number 8: M_tot 0.000 μB/atom. Number 9: M_tot 0.000 μB/atom. Number 10: M_tot 0.000 μB/atom. Number 11: M_tot 0.037 μB/atom. Number 12: M_tot 0.000 μB/atom. Number 13: M_tot 0.000 μB/atom.